{"formula": "TbPrEr2Sb4", "functional": "PBE-GGA", "state": "relaxed", "magnetic_moment_mub_per_fu": 0.0, "raw_formation_energy_mev_per_atom": -1125, "mass_density_g_cm3": 7.63, "lattice": [[7.647, 0.000, 0.000], [0.000, 4.422, 0.000], [-2.555, 0.000, 7.214]], "species": ["Tb", "Pr", "Er", "Er", "Sb", "Sb", "Sb", "Sb"], "fractional_positions": [[0.000, 0.000, 0.000], [0.000, 0.500, 0.500], [0.500, 0.000, 0.500], [0.500, 0.500, 0.000], [0.257, 0.500, 0.248], [0.260, 0.000, 0.758], [0.740, 0.000, 0.242], [0.743, 0.500, 0.752]]}

---

{"formula": "TbPr2Er3Sb6", "functional": "PBE-GGA", "state": "relaxed", "magnetic_moment_mub_per_fu": 0.0, "raw_formation_energy_mev_per_atom": -1129, "mass_density_g_cm3": 7.53, "lattice": [[9.650, -2.216, 0.000], [9.650, 2.216, 0.000], [-2.015, 0.000, 8.624]], "species": ["Tb", "Pr", "Pr", "Er", "Er", "Er", "Sb", "Sb", "Sb", "Sb", "Sb", "Sb"], "fractional_positions": [[0.000, 0.000, 0.000], [0.334, 0.334, 0.668], [0.666, 0.666, 0.332], [0.000, 0.000, 0.500], [0.332, 0.332, 0.166], [0.668, 0.668, 0.834], [0.164, 0.164, 0.591], [0.167, 0.167, 0.074], [0.496, 0.496, 0.250], [0.504, 0.504, 0.750], [0.833, 0.833, 0.926], [0.836, 0.836, 0.409]]}

---

{"formula": "Pr3ErTh2Sb6", "functional": "PBE-GGA", "state": "relaxed", "magnetic_moment_mub_per_fu": 0.0, "raw_formation_energy_mev_per_atom": -1092, "mass_density_g_cm3": 7.62, "lattice": [[9.837, -2.256, 0.000], [9.837, 2.256, 0.000], [-2.108, 0.000, 8.766]], "species": ["Pr", "Pr", "Pr", "Er", "Th", "Th", "Sb", "Sb", "Sb", "Sb", "Sb", "Sb"], "fractional_positions": [[0.000, 0.000, 0.000], [0.333, 0.333, 0.666], [0.667, 0.667, 0.334], [0.000, 0.000, 0.500], [0.335, 0.335, 0.170], [0.665, 0.665, 0.830], [0.163, 0.163, 0.583], [0.168, 0.168, 0.081], [0.500, 0.500, 0.259], [0.500, 0.500, 0.741], [0.832, 0.832, 0.919], [0.837, 0.837, 0.417]]}

---

{"formula": "PrEr2ThSb4", "functional": "PBE-GGA", "state": "relaxed", "magnetic_moment_mub_per_fu": 0.0, "raw_formation_energy_mev_per_atom": -1084, "mass_density_g_cm3": 8.01, "lattice": [[7.663, 0.000, 0.000], [0.000, 4.452, 0.000], [-2.575, 0.000, 7.263]], "species": ["Pr", "Er", "Er", "Th", "Sb", "Sb", "Sb", "Sb"], "fractional_positions": [[0.000, 0.000, 0.000], [0.500, 0.000, 0.500], [0.500, 0.500, 0.000], [0.000, 0.500, 0.500], [0.262, 0.000, 0.752], [0.262, 0.500, 0.256], [0.738, 0.000, 0.248], [0.738, 0.500, 0.744]]}

---

{"formula": "PrEr2TmSb4", "functional": "PBE-GGA", "state": "relaxed", "magnetic_moment_mub_per_fu": 0.0, "raw_formation_energy_mev_per_atom": -1096, "mass_density_g_cm3": 7.78, "lattice": [[-3.114, 3.114, 6.223], [3.114, -3.114, 6.223], [3.114, 3.114, -6.223]], "species": ["Pr", "Er", "Er", "Tm", "Sb", "Sb", "Sb", "Sb"], "fractional_positions": [[0.000, 0.000, 0.000], [0.250, 0.750, 0.500], [0.750, 0.250, 0.500], [0.500, 0.500, 0.000], [0.000, 0.500, 0.500], [0.255, 0.255, 0.000], [0.500, 0.000, 0.500], [0.745, 0.745, 0.000]]}

---

{"formula": "Pr2Er3TmSb6", "functional": "PBE-GGA", "state": "relaxed", "magnetic_moment_mub_per_fu": 0.0, "raw_formation_energy_mev_per_atom": -1112, "mass_density_g_cm3": 7.63, "lattice": [[9.629, -2.211, 0.000], [9.629, 2.211, 0.000], [-2.021, 0.000, 8.603]], "species": ["Pr", "Pr", "Er", "Er", "Er", "Tm", "Sb", "Sb", "Sb", "Sb", "Sb", "Sb"], "fractional_positions": [[0.165, 0.165, 0.332], [0.835, 0.835, 0.668], [0.169, 0.169, 0.834], [0.500, 0.500, 0.500], [0.831, 0.831, 0.166], [0.500, 0.500, 0.000], [0.004, 0.004, 0.753], [0.335, 0.335, 0.927], [0.336, 0.336, 0.409], [0.664, 0.664, 0.591], [0.665, 0.665, 0.073], [0.996, 0.996, 0.247]]}

---

{"formula": "PrErTm2Sb4", "functional": "PBE-GGA", "state": "relaxed", "magnetic_moment_mub_per_fu": 0.0, "raw_formation_energy_mev_per_atom": -1087, "mass_density_g_cm3": 7.81, "lattice": [[-3.112, 3.112, 6.220], [3.112, -3.112, 6.220], [3.112, 3.112, -6.220]], "species": ["Pr", "Er", "Tm", "Tm", "Sb", "Sb", "Sb", "Sb"], "fractional_positions": [[0.000, 0.000, 0.000], [0.500, 0.500, 0.000], [0.250, 0.750, 0.500], [0.750, 0.250, 0.500], [0.000, 0.500, 0.500], [0.255, 0.255, 0.000], [0.500, 0.000, 0.500], [0.745, 0.745, 0.000]]}

---

{"formula": "Pr2ErTmSb4", "functional": "PBE-GGA", "state": "relaxed", "magnetic_moment_mub_per_fu": 0.0, "raw_formation_energy_mev_per_atom": -1130, "mass_density_g_cm3": 7.35, "lattice": [[7.700, 0.000, 0.000], [0.000, 4.459, 0.000], [-2.579, 0.000, 7.274]], "species": ["Pr", "Pr", "Er", "Tm", "Sb", "Sb", "Sb", "Sb"], "fractional_positions": [[0.000, 0.000, 0.000], [0.000, 0.500, 0.500], [0.500, 0.000, 0.500], [0.500, 0.500, 0.000], [0.264, 0.000, 0.755], [0.264, 0.500, 0.254], [0.736, 0.000, 0.245], [0.736, 0.500, 0.746]]}

---

{"formula": "Pr2YEr3Sb6", "functional": "PBE-GGA", "state": "relaxed", "magnetic_moment_mub_per_fu": 0.0, "raw_formation_energy_mev_per_atom": -1132, "mass_density_g_cm3": 7.22, "lattice": [[9.649, -2.216, 0.000], [9.649, 2.216, 0.000], [-2.018, 0.000, 8.621]], "species": ["Pr", "Pr", "Y", "Er", "Er", "Er", "Sb", "Sb", "Sb", "Sb", "Sb", "Sb"], "fractional_positions": [[0.166, 0.166, 0.332], [0.834, 0.834, 0.668], [0.500, 0.500, 0.000], [0.168, 0.168, 0.834], [0.500, 0.500, 0.500], [0.832, 0.832, 0.166], [0.004, 0.004, 0.750], [0.333, 0.333, 0.926], [0.336, 0.336, 0.409], [0.664, 0.664, 0.591], [0.667, 0.667, 0.074], [0.996, 0.996, 0.250]]}

---

{"formula": "Pr3Er2Sc", "functional": "PBE-GGA", "state": "relaxed", "delta_e_f_mev_per_atom": 44, "magnetic_moment_mub_per_fu": 0.0, "mass_density_g_cm3": 6.82, "lattice": [[8.447, 0.000, 0.000], [0.000, 3.665, 0.000], [-0.073, 0.000, 12.621]], "species": ["Pr", "Pr", "Pr", "Pr", "Pr", "Pr", "Er", "Er", "Er", "Er", "Sc", "Sc"], "fractional_positions": [[0.078, 0.250, 0.113], [0.340, 0.750, 0.560], [0.395, 0.750, 0.246], [0.605, 0.250, 0.754], [0.660, 0.250, 0.440], [0.922, 0.750, 0.887], [0.073, 0.250, 0.390], [0.349, 0.750, 0.948], [0.651, 0.250, 0.052], [0.927, 0.750, 0.610], [0.193, 0.250, 0.754], [0.807, 0.750, 0.246]]}